Compound: La4Sm3ErS8
Source: the Alexandria database
Functional: PBE
Structure: relaxed

SG = R-3m, No. 166

a = 8.1100 Å, b = 8.1493 Å, c = 8.1095 Å
α = 119.83°, β = 120.00°, γ = 90.00°
Atoms (fractional coordinates):
La: 0.5000 0.0000 0.5000
Sm: 0.5000 0.5000 0.0000
S: 0.7464 0.7393 0.4929
Sm: 0.0000 0.5000 0.5000
S: 0.2411 0.7342 0.9931
Sm: 0.5000 0.5000 0.5000
S: 0.7589 0.2658 0.0069
S: 0.2412 0.7343 0.4824
La: 0.0000 0.0000 0.5000
S: 0.7588 0.2657 0.5176
S: 0.2481 0.2658 0.0069
La: 0.5000 0.0000 0.0000
S: 0.7519 0.7342 0.9931
La: 0.0000 0.0000 0.0000
S: 0.2536 0.2607 0.5071
Er: 0.0000 0.5000 0.0000

Compound: SrLaEr4S8
Source: the Alexandria database
Functional: PBE
Structure: relaxed

SG = R3m, No. 160

a = 8.1088 Å, b = 8.1088 Å, c = 8.2604 Å
α = 60.61°, β = 60.61°, γ = 60.00°
Atoms (fractional coordinates):
Er: 0.6256 0.6256 0.1233
Er: 0.0017 0.0017 0.5017
S: 0.2325 0.7484 0.2706
Er: 0.4950 0.0017 0.5017
S: 0.2442 0.2442 0.7205
La: 0.0014 0.0014 0.9957
Er: 0.0017 0.4950 0.5017
S: 0.7484 0.7484 0.2706
S: 0.2351 0.2351 0.2946
S: 0.7911 0.2442 0.7205
S: 0.7577 0.7577 0.7270
Sr: 0.3730 0.3730 0.8810
S: 0.2442 0.7911 0.7205
S: 0.7484 0.2325 0.2706

Compound: Sr3La3ErS8
Source: the Alexandria database
Functional: PBE
Structure: relaxed

SG = R-3m, No. 166

a = 8.3164 Å, b = 8.3160 Å, c = 8.4301 Å
α = 119.56°, β = 90.00°, γ = 120.00°
Atoms (fractional coordinates):
La: 0.5000 0.5000 0.5000
S: 0.7603 0.9933 0.7263
Sr: 0.0000 0.5000 0.0000
S: 0.2517 0.5033 0.2550
Sr: 0.0000 0.0000 0.0000
S: 0.7483 0.4967 0.7450
Sr: 0.5000 0.5000 0.0000
S: 0.2397 0.0067 0.2737
S: 0.2330 0.4661 0.7263
La: 0.5000 0.0000 0.5000
La: 0.0000 0.5000 0.5000
S: 0.2330 0.9933 0.7263
S: 0.7670 0.0067 0.2737
S: 0.7670 0.5339 0.2737
Er: 0.0000 0.0000 0.5000

Compound: Sr2LaErS4
Source: the Alexandria database
Functional: PBE
Structure: relaxed

SG = P2/m, No. 10

a = 4.1020 Å, b = 7.1251 Å, c = 7.2307 Å
α = 109.02°, β = 90.00°, γ = 90.00°
Atoms (fractional coordinates):
Sr: 0.5000 0.0000 0.5000
Sr: 0.0000 0.5000 0.5000
Er: 0.0000 0.0000 0.0000
S: 0.5000 0.2324 0.2305
La: 0.5000 0.5000 0.0000
S: 0.5000 0.7676 0.7695
S: 0.0000 0.2415 0.7618
S: 0.0000 0.7585 0.2382

E_form (uncorrected) values, unit eV per formula unit, following the record order: -33.40 -27.92 -31.88 -16.41.
Total energy values, unit eV per atom, following the record order: -6.55 -6.13 -5.95 -5.72.